1.
The following is a DFT calculation (PBE) of Pm4Bi2TeAs after structural relaxation.

a = 4.4568 Å, b = 7.7457 Å, c = 7.7357 Å
α = 109.28°, β = 90.00°, γ = 90.00°
Last column: nearest neighbours and their distance in Å.
Fractional positions:
Pm 0.5000 0.2335 0.2343  2 As 3.06, 3 Bi 3.15-3.26, 1 Te 3.16
Pm 0.5000 0.7665 0.7657  2 As 3.06, 3 Bi 3.15-3.26, 1 Te 3.16
Pm 0.0000 0.2401 0.7579  1 As 3.04, 3 Bi 3.16-3.27, 2 Te 3.17
Pm 0.0000 0.7599 0.2421  1 As 3.04, 3 Bi 3.16-3.27, 2 Te 3.17
Bi 0.5000 0.0000 0.5000  6 Pm 3.15-3.16
Bi 0.0000 0.5000 0.5000  6 Pm 3.26-3.27
Te 0.5000 0.5000 0.0000  6 Pm 3.16-3.17
As 0.0000 0.0000 0.0000  6 Pm 3.04-3.06

Values from the calculation:
DFT total energy	-5.53	eV per atom
SG	P2/m, No. 10
magnetic moment	0.00	μB per formula unit
ρ	7.91	g/cm3

---

2.
The following is a DFT calculation (PBE) of BaSc2FeTe after structural relaxation.

a = 5.4593 Å, b = 4.5879 Å, c = 5.4593 Å
α = 90.00°, β = 90.00°, γ = 90.00°
Last column: nearest neighbours and their distance in Å.
Fractional positions:
Sc 0.0000 0.0000 0.5000  2 Ba 2.73
Sc 0.5000 0.0000 0.0000  2 Ba 2.73
Te 0.5000 0.5000 0.5000  8 Sc 3.57, 4 Fe 3.86
Ba 0.0000 0.0000 0.0000  2 Fe 2.29
Fe 0.0000 0.5000 0.0000  2 Ba 2.29

Values from the calculation:
DFT total energy	-3.87	eV per atom
SG	P4/mmm, No. 123
magnetic moment	0.00	μB per formula unit
ρ	4.99	g/cm3

---

3.
The following is a DFT calculation (PBE) of ScSi2Mo after structural relaxation.

a = 6.9208 Å, b = 6.9208 Å, c = 6.9208 Å
α = 29.10°, β = 29.10°, γ = 29.10°
Last column: nearest neighbours and their distance in Å.
Fractional positions:
Mo 0.2500 0.2500 0.2500  6 Si 2.51
Sc 0.7500 0.7500 0.7500  6 Si 2.70
Si 0.9928 0.9928 0.9928  3 Mo 2.51, 3 Sc 2.70
Si 0.5072 0.5072 0.5072  3 Mo 2.51, 3 Sc 2.70

Values from the calculation:
DFT total energy	-7.29	eV per atom
SG	R-3m, No. 166
magnetic moment	0.00	μB per formula unit
ρ	4.72	g/cm3
energy above the most stable polymorph in this dataset	0.253	eV per atom

---

4.
The following is a DFT calculation (PBE) of CaTm2Rh after structural relaxation.

a = 3.9201 Å, b = 3.9201 Å, c = 9.6707 Å
α = 78.31°, β = 78.31°, γ = 60.00°
Last column: nearest neighbours and their distance in Å.
Fractional positions:
Ca 0.5000 0.5000 0.5000  6 Ca 3.92, 6 Tm 3.92
Tm 0.2803 0.2803 0.1590  3 Rh 2.71
Tm 0.7197 0.7197 0.8410  3 Rh 2.71
Rh 0.0000 0.0000 0.0000  6 Tm 2.71

Values from the calculation:
DFT total energy	-4.97	eV per atom
SG	R-3m, No. 166
magnetic moment	0.00	μB per formula unit
ρ	6.38	g/cm3
energy above the most stable polymorph in this dataset	0.040	eV per atom

---

5.
The following is a DFT calculation (PBE) of AcCd2Pb after structural relaxation.

a = 4.9655 Å, b = 6.5063 Å, c = 5.1168 Å
α = 129.48°, β = 90.00°, γ = 90.00°
Last column: nearest neighbours and their distance in Å.
Fractional positions:
Ac 0.5000 0.7835 0.5669  4 Cd 3.26-3.40, 2 Pb 3.43
Cd 0.0000 0.0767 0.1535  2 Cd 2.87
Cd 0.5000 0.2589 0.5178  2 Cd 2.87, 2 Pb 3.05
Pb 0.0000 0.4839 0.9679  5 Cd 3.05-3.33

Values from the calculation:
DFT total energy	-2.56	eV per atom
SG	Amm2, No. 38
magnetic moment	0.00	μB per formula unit
ρ	8.58	g/cm3

---

6.
The following is a DFT calculation (PBE) of La4BO7 after structural relaxation.

a = 4.3322 Å, b = 6.8783 Å, c = 6.9059 Å
α = 78.01°, β = 71.72°, γ = 71.64°
Last column: nearest neighbours and their distance in Å.
Fractional positions:
La 0.5915 0.2099 0.6071  4 O 2.41-2.50
La 0.4085 0.7901 0.3929  4 O 2.41-2.50
La 0.7274 0.6771 0.8680  4 O 2.30-2.51
La 0.2726 0.3229 0.1320  4 O 2.30-2.51
B 0.0000 0.0000 0.0000  2 O 1.33
O 0.8099 0.8422 0.5380  4 La 2.30-2.50
O 0.1901 0.1578 0.4620  4 La 2.30-2.50
O 0.0549 0.8043 0.0859  1 B 1.33
O 0.9451 0.1957 0.9141  1 B 1.33
O 0.3570 0.5364 0.7496  5 La 2.43-2.72
O 0.5000 0.0000 0.0000  2 B 2.17, 2 La 2.37
O 0.6430 0.4636 0.2504  5 La 2.43-2.72

Values from the calculation:
DFT total energy	-8.06	eV per atom
SG	C2/m, No. 12
magnetic moment	0.00	μB per formula unit
ρ	6.12	g/cm3

---

7.
The following is a DFT calculation (PBE) of BiTeI2O after structural relaxation.

a = 6.2638 Å, b = 6.2638 Å, c = 4.0410 Å
α = 90.00°, β = 90.00°, γ = 90.00°
Last column: nearest neighbours and their distance in Å.
Fractional positions:
I 0.0000 0.5000 0.0000  2 Te 3.13
I 0.5000 0.0000 0.0000  2 Te 3.13
Te 0.0000 0.0000 0.0000  2 O 2.02
Bi 0.5000 0.5000 0.5000  8 I 3.73, 2 Bi 4.04
O 0.0000 0.0000 0.5000  2 Te 2.02

Values from the calculation:
DFT total energy	-3.00	eV per atom
SG	P4/mmm, No. 123
magnetic moment	0.00	μB per formula unit
ρ	6.35	g/cm3
energy above the most stable polymorph in this dataset	0.000	eV per atom

---

8.
The following is a DFT calculation (PBE) of LuBiIr4 after structural relaxation.

a = 5.3635 Å, b = 5.3635 Å, c = 5.3635 Å
α = 60.00°, β = 60.00°, γ = 60.00°
Last column: nearest neighbours and their distance in Å.
Fractional positions:
Ir 0.6250 0.6250 0.1249  6 Ir 2.68
Ir 0.6250 0.1249 0.6250  6 Ir 2.68
Ir 0.6250 0.6250 0.6250  6 Ir 2.68
Ir 0.1249 0.6250 0.6250  6 Ir 2.68
Lu 0.2500 0.2500 0.2500  12 Ir 3.14, 4 Bi 3.28
Bi 0.0000 0.0000 0.0000  12 Ir 3.14, 4 Lu 3.28

Values from the calculation:
DFT total energy	-7.57	eV per atom
SG	F-43m, No. 216
magnetic moment	0.00	μB per formula unit
ρ	17.55	g/cm3

---

9.
The following is a DFT calculation (PBE) of CrGa after structural relaxation.

a = 7.7896 Å, b = 7.7896 Å, c = 7.7896 Å
α = 109.36°, β = 109.36°, γ = 109.36°
Last column: nearest neighbours and their distance in Å.
Fractional positions:
Cr 0.5000 0.5000 0.5000  6 Cr 2.52, 6 Ga 2.65
Cr 0.8582 0.1992 0.1992  5 Cr 2.55-2.84, 7 Ga 2.55-2.71
Cr 0.1992 0.8582 0.1992  5 Cr 2.55-2.84, 7 Ga 2.55-2.71
Cr 0.1992 0.1992 0.8582  5 Cr 2.55-2.84, 7 Ga 2.55-2.71
Cr 0.1418 0.8008 0.8008  5 Cr 2.55-2.84, 7 Ga 2.55-2.71
Cr 0.8008 0.1418 0.8008  5 Cr 2.55-2.84, 7 Ga 2.55-2.71
Cr 0.8008 0.8008 0.1418  5 Cr 2.55-2.84, 7 Ga 2.55-2.71
Cr 0.3946 0.1783 0.1783  6 Cr 2.52-2.79, 6 Ga 2.52-2.71
Cr 0.1783 0.3946 0.1783  6 Cr 2.52-2.79, 6 Ga 2.52-2.71
Cr 0.1783 0.1783 0.3946  6 Cr 2.52-2.79, 6 Ga 2.52-2.71
Cr 0.6054 0.8217 0.8217  6 Cr 2.52-2.79, 6 Ga 2.52-2.71
Cr 0.8217 0.6054 0.8217  6 Cr 2.52-2.79, 6 Ga 2.52-2.71
Cr 0.8217 0.8217 0.6054  6 Cr 2.52-2.79, 6 Ga 2.52-2.71
Ga 0.0000 0.0000 0.0000  12 Cr 2.52-2.59
Ga 0.1923 0.5450 0.5450  6 Cr 2.55-2.71, 3 Ga 2.62-2.83
Ga 0.5450 0.1923 0.5450  6 Cr 2.55-2.71, 3 Ga 2.62-2.83
Ga 0.5450 0.5450 0.1923  6 Cr 2.55-2.71, 3 Ga 2.62-2.83
Ga 0.8077 0.4550 0.4550  6 Cr 2.55-2.71, 3 Ga 2.62-2.83
Ga 0.4550 0.8077 0.4550  6 Cr 2.55-2.71, 3 Ga 2.62-2.83
Ga 0.4550 0.4550 0.8077  6 Cr 2.55-2.71, 3 Ga 2.62-2.83
Ga 0.1135 0.5000 0.8865  6 Cr 2.60-2.71, 3 Ga 2.86-2.88
Ga 0.8865 0.1135 0.5000  6 Cr 2.60-2.71, 3 Ga 2.86-2.88
Ga 0.5000 0.8865 0.1135  6 Cr 2.60-2.71, 3 Ga 2.86-2.88
Ga 0.8865 0.5000 0.1135  6 Cr 2.60-2.71, 3 Ga 2.86-2.88
Ga 0.1135 0.8865 0.5000  6 Cr 2.60-2.71, 3 Ga 2.86-2.88
Ga 0.5000 0.1135 0.8865  6 Cr 2.60-2.71, 3 Ga 2.86-2.88

Values from the calculation:
DFT total energy	-6.36	eV per atom
SG	R-3m, No. 166
magnetic moment	0.19	μB per formula unit
ρ	7.19	g/cm3

---

10.
The following is a DFT calculation (PBE) of Pd2PbS2 after structural relaxation.

a = 4.7111 Å, b = 4.7111 Å, c = 5.6145 Å
α = 65.19°, β = 65.19°, γ = 90.00°
Last column: nearest neighbours and their distance in Å.
Fractional positions:
Pb 0.0000 0.0000 0.0000  2 Pd 3.01, 8 S 3.26
S 0.7500 0.2500 0.5000  4 Pd 2.47
S 0.2500 0.7500 0.5000  4 Pd 2.47
Pd 0.3335 0.3335 0.3329  4 S 2.47
Pd 0.6665 0.6665 0.6671  4 S 2.47

Values from the calculation:
DFT total energy	-4.62	eV per atom
SG	I4/mmm, No. 139
magnetic moment	0.00	μB per formula unit
ρ	8.02	g/cm3
energy above the most stable polymorph in this dataset	0.000	eV per atom

---

11.
The following is a DFT calculation (PBE) of Ta2W after structural relaxation.

a = 7.6124 Å, b = 7.6124 Å, c = 3.2743 Å
α = 90.00°, β = 90.00°, γ = 120.00°
Last column: nearest neighbours and their distance in Å.
Fractional positions:
Ta 0.0000 0.2744 0.0000  4 W 2.65-2.79, 2 Ta 2.95
Ta 0.0000 0.5964 0.5000  5 W 2.84-3.07, 6 Ta 2.95-3.17
Ta 0.2744 0.0000 0.0000  4 W 2.65-2.79, 2 Ta 2.95
Ta 0.7256 0.7256 0.0000  4 W 2.65-2.79, 2 Ta 2.95
Ta 0.5964 0.0000 0.5000  5 W 2.84-3.07, 6 Ta 2.95-3.17
Ta 0.4036 0.4036 0.5000  5 W 2.84-3.07, 6 Ta 2.95-3.17
W 0.0000 0.0000 0.5000  6 Ta 2.65
W 0.3333 0.6667 0.0000  9 Ta 2.79-2.84
W 0.6667 0.3333 0.0000  9 Ta 2.79-2.84

Values from the calculation:
DFT total energy	-11.83	eV per atom
SG	P-62m, No. 189
magnetic moment	0.00	μB per formula unit
ρ	16.54	g/cm3
energy above the most stable polymorph in this dataset	0.468	eV per atom

---

Question: Which formula does entry 7 have?
Answer: BiTeI2O